VASP calculation (GGA-PBE) on crystalline Tb2Pu2Ir3 at its relaxed geometry.

```
7
Lattice="-1.872 3.868 -0.440 0.374 -1.436 6.932 5.017 2.522 0.777" Properties=species:S:1:pos:R:3 pbc="T T T"
Pu 1.908 1.121 1.681
Pu 1.610 3.834 5.589
Tb 3.389 4.334 2.412
Tb 0.129 0.620 4.858
Ir 0.542 3.033 3.106
Ir 2.977 1.921 4.163
Ir 0.000 0.000 0.000
```

Summary:
DFT total energy (eV/atom): -9.74
Volume (A^3/atom): 23.5
Space group: C2/m, No. 12
ΔE_f (eV per atom): -0.53